# HfTaIr2 (PBEsol, relaxed)
# E_form	-0.546	eV/atom
# N(E_F)	1.17	states/eV/atom
data_HfTaIr2
_chemical_formula_sum 'Hf4 Ta4 Ir8'
_space_group_name_H-M_alt 'F m -3 m'
_space_group_IT_number 225
_space_group_name_Hall '-F 4 2 3'
_cell_length_a 6.416
_cell_length_b 6.416
_cell_length_c 6.416
_cell_angle_alpha 90.00
_cell_angle_beta 90.00
_cell_angle_gamma 90.00
loop_
_atom_site_label
_atom_site_type_symbol
_atom_site_fract_x
_atom_site_fract_y
_atom_site_fract_z
Hf1 Hf 0.000 0.000 0.000
Ta1 Ta 0.000 0.000 0.500
Ir1 Ir 0.250 0.250 0.250